This record from Alexandria via LeMat-Bulk describes a geometry-optimized LaHfNbIr2 structure. The functional is GGA-PBE.

a b c (Å): 6.2748 6.2748 6.2748
angles (deg): 137.85 137.85 61.13
Last column: nearest neighbours and their distance in Å.
Element x y z (fractional)
La: 0.0000 0.0000 0.0000  8 Ir 3.46, 4 Hf 3.52, 4 Nb 3.52
Hf: 0.7500 0.2500 0.5000  4 Ir 2.64
Nb: 0.2500 0.7500 0.5000  4 Ir 2.64
Ir: 0.3763 0.3763 0.0000  2 Hf 2.64, 2 Nb 2.64, 1 Ir 2.67
Ir: 0.6237 0.6237 0.0000  2 Hf 2.64, 2 Nb 2.64, 1 Ir 2.67

Results
Symmetry: No. 119
Calculated formation energy in kJ per mole of atoms: -68.36
V in Å³/atom: 22.00
DOS(E_F) in states/eV/cell: 3.5



This record from Alexandria via LeMat-Bulk describes a geometry-optimized Tm3Pd2 structure. The functional is GGA-PBE.

a b c (Å): 9.0009 9.0009 10.4859
angles (deg): 97.01 97.01 27.27
Last column: nearest neighbours and their distance in Å.
Element x y z (fractional)
Tm: 0.0000 0.0000 0.0000  4 Pd 2.88
Tm: 0.0361 0.0361 0.6593  3 Pd 2.77-2.85
Tm: 0.2932 0.2932 0.3830  4 Pd 2.86-3.00
Tm: 0.3283 0.3283 0.0429  4 Pd 2.71-2.84
Tm: 0.3746 0.3746 0.7203  5 Pd 2.77-2.86
Tm: 0.6254 0.6254 0.2797  5 Pd 2.77-2.86
Tm: 0.6717 0.6717 0.9571  4 Pd 2.71-2.84
Tm: 0.7068 0.7068 0.6170  4 Pd 2.86-3.00
Tm: 0.9639 0.9639 0.3407  3 Pd 2.77-2.85
Pd: 0.1348 0.1348 0.4633  7 Tm 2.85-3.10
Pd: 0.1850 0.1850 0.1392  6 Tm 2.82-2.98
Pd: 0.4723 0.4723 0.1738  6 Tm 2.71-2.88
Pd: 0.5277 0.5277 0.8262  6 Tm 2.71-2.88
Pd: 0.8150 0.8150 0.8608  6 Tm 2.82-2.98
Pd: 0.8652 0.8652 0.5367  7 Tm 2.85-3.10

Results
E above lowest polymorph in eV/atom: 0.110
Symmetry: No. 12
Calculated formation energy in kJ per mole of atoms: -64.33
V in Å³/atom: 25.75
DOS(E_F) in states/eV/cell: 10.7



This record from Alexandria via LeMat-Bulk describes a geometry-optimized Tl4Pb2Se5 structure. The functional is GGA-PBE.

a b c (Å): 22.1964 22.1964 22.1964
angles (deg): 11.39 11.39 11.39
Last column: nearest neighbours and their distance in Å.
Element x y z (fractional)
Tl: 0.0796 0.0796 0.0796  4 Se 2.91-3.08
Tl: 0.1879 0.1879 0.1879  3 Se 2.92
Tl: 0.8121 0.8121 0.8121  3 Se 2.92
Tl: 0.9204 0.9204 0.9204  4 Se 2.91-3.08
Pb: 0.3604 0.3604 0.3604  6 Se 3.09-3.11
Pb: 0.6396 0.6396 0.6396  6 Se 3.09-3.11
Se: 0.0000 0.0000 0.0000  6 Pb 3.11
Se: 0.1237 0.1237 0.1237  4 Tl 2.91-2.92
Se: 0.2799 0.2799 0.2799  3 Tl 3.08, 3 Pb 3.09
Se: 0.7201 0.7201 0.7201  3 Tl 3.08, 3 Pb 3.09
Se: 0.8763 0.8763 0.8763  4 Tl 2.91-2.92

Results
Energy relative to the elements, uncorrected in meV/atom: -338
Symmetry: No. 166
V in Å³/atom: 33.68
DOS(E_F) in states/eV/cell: 6.4